Record 1
Here is an optimized crystal structure of GdErAlCr from the Alexandria database. Energies are from PBE-GGA.

Summary:
Calculated volume: 93.4 Å³/cell
Formation energy: -0.027 eV per atom
Space-group type: F-43m (216)

Cell and atoms, written as POSCAR:
```
GdErAlCr
1.0
0.000 3.601 3.601
3.601 0.000 3.601
3.601 3.601 0.000
Gd Er Al Cr
1 1 1 1
Direct
0.000 0.000 0.000
0.500 0.500 0.500
0.250 0.250 0.250
0.750 0.750 0.750
```

Record 2
Here is an optimized crystal structure of LiErAlCr from the Alexandria database. Energies are from PBE-GGA.

Summary:
Calculated volume: 75.3 Å³/cell
Formation energy: 0.011 eV per atom
Space-group type: F-43m (216)

Cell and atoms, written as POSCAR:
```
LiErAlCr
1.0
0.000 3.351 3.351
3.351 0.000 3.351
3.351 3.351 0.000
Li Er Al Cr
1 1 1 1
Direct
0.000 0.000 0.000
0.750 0.750 0.750
0.250 0.250 0.250
0.500 0.500 0.500
```